Material: MgZr2Os
Method: DFT, PBE
State: relaxed Values from VASP.

- DFT total energy: -7.55 eV/atom
- Energy of formation: -0.071 eV/atom
- Total magnetic moment: 0.00 Bohr magnetons per cell
- Space-group type: P4mm (99)
- DOS(E_F): 2.83 states/eV per cell

```
&SYSTEM
  ibrav = 0, nat = 4, ntyp = 3
/
ATOMIC_SPECIES
Mg 24.30 Mg.upf
Zr 91.22 Zr.upf
Os 190.23 Os.upf
CELL_PARAMETERS angstrom
3.295 0.000 0.000
0.000 3.295 0.000
0.000 0.000 7.325
ATOMIC_POSITIONS crystal
Mg 0.000 0.000 0.000
Zr 0.000 0.000 0.417
Zr 0.500 0.500 0.696
Os 0.500 0.500 0.219
```